Entry 1:
## CePrHg6 (GGA-PBE)

Data for a relaxed CePrHg6 crystal.

Cell: 5.074 6.850 6.850 Å, 119.95 90.00 90.00°
Last column: magnetic moment on the atom in μB.
Positions (direct):
Pr 0.500 0.415 0.585  -0.01
Hg 0.000 0.071 0.409  0.01
Hg 0.500 0.913 0.578  0.01
Hg 0.500 0.422 0.087  0.01
Hg 0.000 0.587 0.413  0.01
Ce 0.000 0.085 0.915  0.91
Hg 0.500 0.917 0.083  0.01
Hg 0.000 0.591 0.929  0.01

- DFT formation energy: -33.9 kJ/mol of atoms
- Density of states at the Fermi level: 1.59 states/eV/atom

---

Entry 2:
## Ce5Pr12Hg3 (GGA-PBE)

Data for a relaxed Ce5Pr12Hg3 crystal.

Cell: 15.336 15.336 15.336 Å, 109.47 109.47 109.47°
Last column: magnetic moment on the atom in μB.
Positions (direct):
Pr 0.175 0.084 0.947  0.05
Ce 0.375 0.250 0.125  -0.01
Pr 0.416 0.363 0.591  0.05
Pr 0.416 0.053 0.325  0.05
Pr 0.909 0.825 0.772  0.05
Pr 0.728 0.137 0.053  0.05
Ce 0.625 0.750 0.875  -0.01
Ce 0.000 0.000 0.500  0.71
Hg 0.250 0.625 0.875  0.00
Pr 0.591 0.728 0.675  0.05
Pr 0.909 0.084 0.637  0.05
Hg 0.625 0.375 0.750  0.00
Ce 0.000 0.500 0.500  0.71
Pr 0.053 0.637 0.728  0.05
Pr 0.591 0.863 0.416  0.05
Pr 0.137 0.409 0.084  0.05
Pr 0.137 0.728 0.553  0.05
Pr 0.947 0.584 0.175  0.05
Pr 0.584 0.637 0.409  0.05
Hg 0.125 0.875 0.750  0.00
Pr 0.637 0.584 0.909  0.05
Ce 0.500 0.500 0.500  0.71
Pr 0.772 0.447 0.363  0.05
Pr 0.447 0.675 0.084  0.05
Pr 0.228 0.675 0.091  0.05
Pr 0.675 0.447 0.584  0.05
Ce 0.125 0.750 0.375  -0.01
Pr 0.553 0.325 0.916  0.05
Pr 0.363 0.947 0.772  0.05
Pr 0.084 0.909 0.137  0.05
Pr 0.447 0.772 0.863  0.05
Pr 0.053 0.416 0.825  0.05
Pr 0.091 0.175 0.228  0.05
Ce 0.500 0.500 0.000  0.71
Hg 0.625 0.250 0.375  0.00
Pr 0.772 0.325 0.909  0.05
Hg 0.125 0.250 0.875  0.00
Pr 0.675 0.228 0.591  0.05
Pr 0.228 0.553 0.637  0.05
Pr 0.091 0.916 0.363  0.05
Ce 0.125 0.375 0.250  -0.01
Pr 0.325 0.772 0.409  0.05
Pr 0.825 0.916 0.053  0.05
Ce 0.500 0.000 0.000  0.71
Pr 0.084 0.175 0.447  0.05
Ce 0.875 0.250 0.625  -0.01
Pr 0.325 0.553 0.416  0.05
Pr 0.863 0.272 0.447  0.05
Pr 0.728 0.591 0.175  0.05
Hg 0.750 0.375 0.125  0.00
Ce 0.375 0.125 0.750  -0.01
Ce 0.625 0.875 0.250  -0.01
Pr 0.584 0.947 0.675  0.05
Pr 0.553 0.228 0.137  0.05
Hg 0.875 0.125 0.250  0.00
Pr 0.175 0.091 0.728  0.05
Ce 0.250 0.375 0.625  -0.01
Hg 0.375 0.625 0.250  0.00
Pr 0.825 0.909 0.272  0.05
Ce 0.000 0.000 0.000  0.71
Ce 0.250 0.875 0.125  -0.01
Ce 0.000 0.500 0.000  0.71
Pr 0.637 0.053 0.228  0.05
Pr 0.272 0.409 0.825  0.05
Hg 0.875 0.750 0.125  0.00
Pr 0.409 0.272 0.325  0.05
Pr 0.863 0.591 0.916  0.05
Ce 0.750 0.125 0.875  -0.01
Ce 0.500 0.000 0.500  0.71
Hg 0.375 0.750 0.625  0.00
Pr 0.272 0.863 0.947  0.05
Pr 0.409 0.137 0.584  0.05
Ce 0.750 0.625 0.375  -0.01
Hg 0.250 0.125 0.375  0.00
Pr 0.947 0.363 0.272  0.05
Hg 0.750 0.875 0.625  0.00
Pr 0.916 0.825 0.553  0.05
Ce 0.875 0.625 0.750  -0.01
Pr 0.363 0.416 0.091  0.05
Pr 0.916 0.091 0.863  0.05

- DFT formation energy: 55.5 kJ/mol of atoms
- Density of states at the Fermi level: 1.99 states/eV/atom

---

Entry 3:
## CePr3Hg2 (GGA-PBE)

Data for a relaxed CePr3Hg2 crystal.

Cell: 3.748 3.748 12.736 Å, 90.00 90.00 90.00°
Last column: magnetic moment on the atom in μB.
Positions (direct):
Pr 0.000 0.000 0.000  0.10
Pr 0.000 0.000 0.682  -0.01
Pr 0.000 0.000 0.318  -0.01
Ce 0.500 0.500 0.500  0.31
Hg 0.500 0.500 0.161  0.00
Hg 0.500 0.500 0.839  0.00

- DFT formation energy: -27.2 kJ/mol of atoms
- Density of states at the Fermi level: 1.21 states/eV/atom
- Energy above the lowest structure with this stoichiometry: 0.000 eV per atom

---

Entry 4:
## CePr5Hg6 (GGA-PBE)

Data for a relaxed CePr5Hg6 crystal.

Cell: 5.451 7.754 8.636 Å, 90.00 71.38 90.00°
Last column: magnetic moment on the atom in μB.
Positions (direct):
Pr 0.666 0.000 0.667  0.22
Pr 0.334 0.000 0.333  0.22
Pr 0.666 0.500 0.667  0.23
Hg 0.500 0.752 0.000  0.02
Ce 0.000 0.000 0.000  1.07
Hg 0.166 0.250 0.668  0.02
Pr 0.000 0.500 0.000  0.23
Hg 0.834 0.250 0.332  0.02
Hg 0.834 0.750 0.332  0.02
Hg 0.500 0.248 0.000  0.02
Hg 0.166 0.750 0.668  0.02
Pr 0.334 0.500 0.333  0.23

- DFT formation energy: -42.4 kJ/mol of atoms
- Density of states at the Fermi level: 1.63 states/eV/atom

---

Entry 5:
## Ce2PrHg4 (GGA-PBE)

Data for a relaxed Ce2PrHg4 crystal.

Cell: 5.349 6.513 6.513 Å, 107.10 90.00 90.00°
Last column: magnetic moment on the atom in μB.
Positions (direct):
Ce 0.000 0.780 0.220  0.91
Hg 0.000 0.282 0.282  0.01
Hg 0.500 0.000 0.500  0.01
Hg 0.000 0.718 0.718  0.01
Pr 0.500 0.500 0.500  0.01
Hg 0.500 0.500 0.000  0.01
Ce 0.000 0.220 0.780  0.91

- DFT formation energy: -23.7 kJ/mol of atoms
- Density of states at the Fermi level: 2.61 states/eV/atom
- Energy above the lowest structure with this stoichiometry: 0.000 eV per atom

---

Entry 6:
## Ce2Pr2Hg5 (GGA-PBE)

Data for a relaxed Ce2Pr2Hg5 crystal.

Cell: 8.507 7.821 9.062 Å, 115.57 90.00 90.00°
Last column: magnetic moment on the atom in μB.
Positions (direct):
Ce 0.000 0.801 0.602  0.96
Hg 0.160 0.494 0.281  0.02
Hg 0.500 0.500 0.000  0.01
Hg 0.160 0.214 0.719  0.02
Ce 0.000 0.199 0.398  0.96
Hg 0.660 0.286 0.281  0.02
Hg 0.340 0.714 0.719  0.02
Pr 0.657 0.857 0.000  0.01
Ce 0.500 0.301 0.602  0.96
Ce 0.500 0.699 0.398  0.96
Pr 0.343 0.143 0.000  0.01
Hg 0.000 0.000 0.000  0.01
Hg 0.840 0.786 0.281  0.02
Hg 0.840 0.506 0.719  0.02
Pr 0.843 0.357 0.000  0.01
Hg 0.340 0.994 0.281  0.02
Hg 0.660 0.006 0.719  0.02
Pr 0.157 0.643 0.000  0.01

- DFT formation energy: -24.0 kJ/mol of atoms
- Density of states at the Fermi level: 2.41 states/eV/atom

---

Entry 7:
## CePr4Hg4 (GGA-PBE)

Data for a relaxed CePr4Hg4 crystal.

Cell: 6.091 9.325 9.325 Å, 90.00 90.00 90.00°
Last column: magnetic moment on the atom in μB.
Positions (direct):
Pr 0.105 0.923 0.330  0.03
Ce 0.000 0.000 0.000  0.82
Hg 0.103 0.704 0.598  0.00
Pr 0.605 0.830 0.577  0.03
Hg 0.397 0.796 0.902  0.00
Hg 0.897 0.598 0.296  0.00
Pr 0.605 0.170 0.423  0.03
Hg 0.603 0.902 0.204  0.00
Pr 0.895 0.330 0.077  0.03
Hg 0.103 0.296 0.402  0.00
Pr 0.895 0.670 0.923  0.03
Pr 0.395 0.577 0.170  0.03
Pr 0.105 0.077 0.670  0.03
Hg 0.897 0.402 0.704  0.00
Pr 0.395 0.423 0.830  0.03
Hg 0.603 0.098 0.796  0.00
Hg 0.397 0.204 0.098  0.00
Ce 0.500 0.500 0.500  0.82

- DFT formation energy: -21.3 kJ/mol of atoms
- Density of states at the Fermi level: 1.61 states/eV/atom

---

Entry 8:
## CePr12Hg6 (GGA-PBE)

Data for a relaxed CePr12Hg6 crystal.

Cell: 8.367 8.367 8.367 Å, 88.62 88.62 88.62°
Last column: magnetic moment on the atom in μB.
Positions (direct):
Pr 0.192 0.461 0.571  -0.01
Pr 0.151 0.381 0.038  0.00
Hg 0.117 0.740 0.269  0.00
Pr 0.038 0.151 0.381  0.00
Hg 0.269 0.117 0.740  0.00
Pr 0.429 0.808 0.539  -0.01
Hg 0.883 0.260 0.731  0.00
Pr 0.571 0.192 0.461  -0.01
Pr 0.849 0.619 0.962  0.00
Hg 0.740 0.269 0.117  0.00
Pr 0.619 0.962 0.849  0.00
Ce 0.000 0.000 0.000  0.65
Pr 0.381 0.038 0.151  0.00
Pr 0.461 0.571 0.192  -0.01
Pr 0.808 0.539 0.429  -0.01
Hg 0.260 0.731 0.883  0.00
Pr 0.962 0.849 0.619  0.00
Hg 0.731 0.883 0.260  0.00
Pr 0.539 0.429 0.808  -0.01

- DFT formation energy: -17.5 kJ/mol of atoms
- Density of states at the Fermi level: 1.40 states/eV/atom

---

Entry 9:
## CePr2Hg3 (GGA-PBE)

Data for a relaxed CePr2Hg3 crystal.

Cell: 3.850 3.850 11.610 Å, 90.00 90.00 90.00°
Last column: magnetic moment on the atom in μB.
Positions (direct):
Hg 0.000 0.000 0.665  0.02
Pr 0.500 0.500 0.833  0.22
Hg 0.000 0.000 0.000  0.02
Hg 0.000 0.000 0.335  0.02
Ce 0.500 0.500 0.500  1.03
Pr 0.500 0.500 0.167  0.22

- DFT formation energy: -39.4 kJ/mol of atoms
- Density of states at the Fermi level: 2.19 states/eV/atom

---

Entry 10:
## CePrHg (GGA-PBE)

Data for a relaxed CePrHg crystal.

Cell: 3.650 5.192 5.192 Å, 120.00 90.00 90.00°
Last column: magnetic moment on the atom in μB.
Positions (direct):
Ce 0.012 0.000 0.000  0.71
Pr 0.658 0.667 0.333  0.03
Hg 0.330 0.333 0.667  -0.01

- DFT formation energy: -11.0 kJ/mol of atoms
- Density of states at the Fermi level: 2.11 states/eV/atom
- Energy above the lowest structure with this stoichiometry: 0.128 eV per atom

---

Entry 11:
## Ce4PrHg3 (GGA-PBE)

Data for a relaxed Ce4PrHg3 crystal.

Cell: 5.354 3.964 10.501 Å, 79.13 104.77 90.00°
Positions (direct):
Ce 0.237 0.263 0.474
Hg 0.632 0.368 0.263
Ce 0.141 0.860 0.281
Hg 0.368 0.632 0.737
Ce 0.763 0.737 0.526
Hg 0.000 0.500 0.000
Pr 0.500 0.000 0.000
Ce 0.859 0.140 0.719

- DFT formation energy: -28.0 kJ/mol of atoms
- Density of states at the Fermi level: 1.95 states/eV/atom

---

Entry 12:
## CePr3Hg2 (GGA-PBE)

Data for a relaxed CePr3Hg2 crystal.

Cell: 8.089 7.413 8.981 Å, 114.37 116.76 90.00°
Last column: magnetic moment on the atom in μB.
Positions (direct):
Pr 0.225 0.475 0.449  0.06
Hg 0.568 0.361 0.722  0.00
Hg 0.153 0.861 0.722  0.00
Hg 0.432 0.639 0.278  0.00
Pr 0.500 0.250 0.000  -0.01
Ce 0.000 0.500 0.000  1.00
Pr 0.775 0.525 0.551  0.06
Pr 0.225 0.975 0.449  0.06
Pr 0.500 0.750 0.000  -0.01
Hg 0.847 0.139 0.278  0.00
Ce 0.000 0.000 0.000  1.00
Pr 0.775 0.025 0.551  0.06

- DFT formation energy: -1.5 kJ/mol of atoms
- Density of states at the Fermi level: 2.27 states/eV/atom
- Energy above the lowest structure with this stoichiometry: 0.266 eV per atom

---

Number 1: energy -15.34 eV per cell. Number 2: energy -305.71 eV per cell. Number 3: energy -22.56 eV per cell. Number 4: energy -36.92 eV per cell. Number 5: energy -19.57 eV per cell. Number 6: energy -50.35 eV per cell. Number 7: energy -56.49 eV per cell. Number 8: energy -68.55 eV per cell. Number 9: energy -18.85 eV per cell. Number 10: energy -11.36 eV per cell. Number 11: energy -31.74 eV per cell. Number 12: energy -41.94 eV per cell.